(1)
The following is a PBE calculation of an optimized crystal structure of La2P2Rh5, from Alexandria via LeMat-Bulk.

Calculated values
crystal system	tetragonal
formation energy	-8.46	eV per formula unit
electronic total energy	-7.32	eV per atom
D(E_F)	0.420	states/eV/atom

Unit cell a=4.1917 b=4.1917 c=9.0832 alpha=90.00 beta=90.00 gamma=90.00
Last column: nearest neighbours and their distance in Å.
Atoms (fractional coordinates):
La  0.0000  0.0000  0.0000  8 Rh 3.15, 8 P 3.28
La  0.0000  0.0000  0.5000  12 Rh 2.96-3.03
P  0.5000  0.5000  0.1556  4 Rh 2.30
P  0.5000  0.5000  0.8444  4 Rh 2.30
Rh  0.0000  0.5000  0.2591  2 P 2.30
Rh  0.0000  0.5000  0.7409  2 P 2.30
Rh  0.5000  0.0000  0.2591  2 P 2.30
Rh  0.5000  0.0000  0.7409  2 P 2.30
Rh  0.5000  0.5000  0.5000  4 La 2.96, 8 Rh 3.03, 2 P 3.13

(2)
The following is a PBE calculation of an optimized crystal structure of Te2AsPbO8, from Alexandria via LeMat-Bulk.

Calculated values
crystal system	trigonal
energy relative to the elements, uncorrected	-7.70	eV per formula unit
electronic total energy	-5.17	eV per atom
D(E_F)	0.500	states/eV/atom

Unit cell a=8.5812 b=8.5812 c=8.5812 alpha=35.68 beta=35.68 gamma=35.68
Last column: nearest neighbours and their distance in Å.
Atoms (fractional coordinates):
Te  0.2463  0.2463  0.2463  4 O 1.86-1.90
Te  0.7537  0.7537  0.7537  4 O 1.86-1.90
As  0.5000  0.5000  0.5000  6 O 2.17
Pb  0.0000  0.0000  0.0000  12 O 3.04-3.16
O  0.1317  0.4352  0.7574  1 Te 1.90
O  0.2426  0.5648  0.8683  1 Te 1.90
O  0.3237  0.3237  0.3237  1 Te 1.86
O  0.4352  0.7574  0.1317  1 Te 1.90
O  0.5648  0.8683  0.2426  1 Te 1.90
O  0.6763  0.6763  0.6763  1 Te 1.86
O  0.7574  0.1317  0.4352  1 Te 1.90
O  0.8683  0.2426  0.5648  1 Te 1.90